# HoNpCo2O8 GGA+U relaxed
# VASP energy: -7.555 eV per atom
# total magnetic moment: 4.0 μB/f.u.
data_HoNpCo2O8
_chemical_formula_sum 'Ho2 Np2 Co4 O16'
_symmetry_space_group_name_H-M 'I -4 m 2'
_symmetry_Int_Tables_number 119
_symmetry_space_group_name_Hall 'I -4 -2'
_cell_length_a 6.804
_cell_length_b 6.804
_cell_length_c 6.685
_cell_angle_alpha 90.00
_cell_angle_beta 90.00
_cell_angle_gamma 90.00
loop_
_atom_site_label
_atom_site_fract_x
_atom_site_fract_y
_atom_site_fract_z
Ho1 0.000 0.000 0.000
Np1 0.000 0.500 0.750
Co1 0.000 0.000 0.500
Co2 0.000 0.500 0.250
O1 0.000 0.205 0.704
O2 0.000 0.326 0.060